DFT (PBE-GGA) results for Nd7Ho4In after structural relaxation.

Geometry as POSCAR:
```
Nd7Ho4In
1.0
8.2265 -3.0061 0.0000
8.2265 3.0061 0.0000
-4.1883 0.0000 8.3505
Nd Ho In
7 4 1
Direct
0.0000 0.0000 0.0000 Nd
0.2879 0.2879 0.1298 Nd
0.2960 0.2960 0.7848 Nd
0.4253 0.4253 0.5840 Nd
0.5747 0.5747 0.4160 Nd
0.7040 0.7040 0.2152 Nd
0.7121 0.7121 0.8702 Nd
0.0768 0.0768 0.6916 Ho
0.1795 0.1795 0.4009 Ho
0.8205 0.8205 0.5991 Ho
0.9232 0.9232 0.3084 Ho
0.5000 0.5000 0.0000 In
```

As for the formation energy: 1.639 eV per formula unit. For the energy above the lowest structure with this stoichiometry, the calculation gives 149 meV/atom. As for the total magnetization: 0.00 μB/f.u. The value obtained for the theoretical density is 7.2 g/cm3.